14
Lattice="10.804 0.000 0.000 0.000 10.804 0.000 0.000 0.000 10.804" Properties=species:S:1:pos:R:3 comment="KRb3Na3 (PBE, relaxed)" delta_e_f_mev_per_atom=258 space_group="Pm-3n (223)" dos_at_fermi_per_ev_cell=9.87 pbc="T T T"
K 0.000 0.000 0.000
K 5.402 5.402 5.402
Rb 0.000 2.701 5.402
Rb 0.000 8.103 5.402
Rb 2.701 5.402 0.000
Rb 5.402 0.000 2.701
Rb 5.402 0.000 8.103
Rb 8.103 5.402 0.000
Na 0.000 5.402 2.701
Na 0.000 5.402 8.103
Na 2.701 0.000 5.402
Na 5.402 2.701 0.000
Na 5.402 8.103 0.000
Na 8.103 0.000 5.402